No. 1
The following is a DFT calculation (PBE-GGA) of a relaxed CeZr2Nb crystal.

Properties
formation enthalpy at 0 K: 0.19 eV per atom
volume: 22.83 Å³/atom
E_tot: -32.3 eV per formula unit
density: 7.56 Mg/m³
distance to the lowest polymorph of the same formula: 32 kJ/mol of formula units

Structure (extended XYZ):
```
4
Lattice="1.584 0.915 10.500 -1.584 0.915 10.500 0.000 -1.829 10.500" Properties=species:S:1:pos:R:3 pbc="T T T"
Ce 0.000 0.000 0.000
Zr 0.000 0.000 7.680
Zr 0.000 0.000 23.820
Nb 0.000 0.000 15.750
```

No. 2
The following is a DFT calculation (PBE-GGA) of a relaxed CeZr2Nb crystal.

Properties
formation enthalpy at 0 K: 0.25 eV per atom
volume: 23.07 Å³/atom
E_tot: -32.1 eV per formula unit
density: 7.48 Mg/m³
distance to the lowest polymorph of the same formula: 57 kJ/mol of formula units

Structure (extended XYZ):
```
4
Lattice="4.613 0.000 0.000 0.000 4.613 0.000 0.000 0.000 4.336" Properties=species:S:1:pos:R:3 pbc="T T T"
Ce 0.000 0.000 0.000
Zr 0.000 2.307 2.168
Zr 2.307 0.000 2.168
Nb 2.307 2.307 0.000
```

No. 3
The following is a DFT calculation (PBE-GGA) of a relaxed CeZr2Nb crystal.

Properties
formation enthalpy at 0 K: 0.15 eV per atom
volume: 22.40 Å³/atom
E_tot: -32.5 eV per formula unit
density: 7.70 Mg/m³
distance to the lowest polymorph of the same formula: 18 kJ/mol of formula units

Structure (extended XYZ):
```
4
Lattice="0.000 3.552 3.552 3.552 0.000 3.552 3.552 3.552 0.000" Properties=species:S:1:pos:R:3 pbc="T T T"
Ce 0.000 0.000 0.000
Zr 1.776 1.776 1.776
Zr 5.327 5.327 5.327
Nb 3.552 3.552 3.552
```

No. 4
The following is a DFT calculation (PBE-GGA) of a relaxed CeZrNb4 crystal.

Properties
formation enthalpy at 0 K: 0.13 eV per atom
volume: 21.17 Å³/atom
E_tot: -54.0 eV per formula unit
density: 7.88 Mg/m³

Structure (extended XYZ):
```
6
Lattice="0.000 3.989 3.989 3.989 0.000 3.989 3.989 3.989 0.000" Properties=species:S:1:pos:R:3 pbc="T T T"
Ce 0.000 0.000 0.000
Zr 5.984 5.984 5.984
Nb 2.991 2.991 2.991
Nb 4.988 4.988 2.991
Nb 4.988 2.991 4.988
Nb 2.991 4.988 4.988
```

No. 5
The following is a DFT calculation (PBE-GGA) of a relaxed Ce5Nd crystal.

Properties
formation enthalpy at 0 K: 0.08 eV per atom
volume: 27.81 Å³/atom
E_tot: -34.0 eV per formula unit
density: 8.41 Mg/m³

Structure (extended XYZ):
```
6
Lattice="2.403 -7.244 0.000 2.403 7.244 0.000 0.000 0.000 4.792" Properties=species:S:1:pos:R:3 pbc="T T T"
Ce 0.000 0.000 0.000
Ce 2.403 4.771 2.396
Ce 2.403 2.454 0.000
Ce 2.403 -2.454 0.000
Ce 2.403 -4.771 2.396
Nd 2.403 0.000 2.396
```

No. 6
The following is a DFT calculation (PBE-GGA) of a relaxed CeNd2 crystal.

Properties
formation enthalpy at 0 K: 0.37 eV per atom
volume: 35.00 Å³/atom
E_tot: -14.4 eV per formula unit
density: 6.78 Mg/m³
distance to the lowest polymorph of the same formula: 86 kJ/mol of formula units

Structure (extended XYZ):
```
6
Lattice="0.000 4.718 4.718 4.718 0.000 4.718 4.718 4.718 0.000" Properties=species:S:1:pos:R:3 pbc="T T T"
Ce 1.179 1.179 1.179
Ce 8.256 8.256 8.256
Nd 4.718 2.359 2.359
Nd 2.359 4.718 2.359
Nd 2.359 2.359 4.718
Nd 4.718 4.718 4.718
```

No. 7
The following is a DFT calculation (PBE-GGA) of a relaxed CeNd5 crystal.

Properties
formation enthalpy at 0 K: 0.06 eV per atom
volume: 34.52 Å³/atom
E_tot: -29.4 eV per formula unit
density: 6.91 Mg/m³

Structure (extended XYZ):
```
6
Lattice="2.585 -7.742 0.000 2.585 7.742 0.000 0.000 0.000 5.175" Properties=species:S:1:pos:R:3 pbc="T T T"
Ce 0.000 0.000 0.000
Nd 2.585 5.211 2.587
Nd 2.585 2.545 0.000
Nd 2.585 0.000 2.587
Nd 2.585 -2.545 0.000
Nd 2.585 -5.211 2.587
```

No. 8
The following is a DFT calculation (PBE-GGA) of a relaxed CeNd2 crystal.

Properties
formation enthalpy at 0 K: 0.10 eV per atom
volume: 33.49 Å³/atom
E_tot: -15.2 eV per formula unit
density: 7.08 Mg/m³
distance to the lowest polymorph of the same formula: 9 kJ/mol of formula units

Structure (extended XYZ):
```
3
Lattice="3.588 0.000 0.000 -0.002 5.143 0.000 -1.781 -2.565 5.445" Properties=species:S:1:pos:R:3 pbc="T T T"
Ce 0.000 0.000 0.000
Nd 0.011 0.004 3.660
Nd 1.793 2.575 1.785
```

No. 9
The following is a DFT calculation (PBE-GGA) of a relaxed Ce4Nd crystal.

Properties
formation enthalpy at 0 K: 0.75 eV per atom
volume: 35.70 Å³/atom
E_tot: -24.8 eV per formula unit
density: 6.56 Mg/m³

Structure (extended XYZ):
```
5
Lattice="5.631 0.000 0.000 0.000 5.631 0.000 0.000 0.000 5.631" Properties=species:S:1:pos:R:3 pbc="T T T"
Ce 0.000 0.000 0.000
Ce 0.000 2.815 2.815
Ce 2.815 0.000 2.815
Ce 2.815 2.815 0.000
Nd 2.815 2.815 2.815
```

No. 10
The following is a DFT calculation (PBE-GGA) of a relaxed CeNd2 crystal.

Properties
formation enthalpy at 0 K: 0.07 eV per atom
volume: 32.69 Å³/atom
E_tot: -15.3 eV per formula unit
density: 7.26 Mg/m³
distance to the lowest polymorph of the same formula: 0 kJ/mol of formula units

Structure (extended XYZ):
```
3
Lattice="-1.790 1.790 7.652 1.790 -1.790 7.652 1.790 1.790 -7.652" Properties=species:S:1:pos:R:3 pbc="T T T"
Ce 0.000 0.000 0.000
Nd 0.000 0.000 5.237
Nd 0.000 0.000 10.067
```

No. 11
The following is a DFT calculation (PBE-GGA) of a relaxed CeNdNi crystal.

Properties
formation enthalpy at 0 K: -0.01 eV per atom
volume: 25.05 Å³/atom
E_tot: -16.5 eV per formula unit
density: 7.58 Mg/m³
distance to the lowest polymorph of the same formula: 29 kJ/mol of formula units

Structure (extended XYZ):
```
3
Lattice="4.411 0.000 0.000 -2.205 3.820 0.000 0.000 0.000 4.460" Properties=species:S:1:pos:R:3 pbc="T T T"
Ce 0.000 0.000 0.000
Nd 0.000 2.547 2.230
Ni 2.205 1.273 0.000
```

No. 12
The following is a DFT calculation (PBE-GGA) of a relaxed CeNdNi2 crystal.

Properties
formation enthalpy at 0 K: -0.25 eV per atom
volume: 20.60 Å³/atom
E_tot: -23.2 eV per formula unit
density: 8.09 Mg/m³
distance to the lowest polymorph of the same formula: 28 kJ/mol of formula units

Structure (extended XYZ):
```
4
Lattice="3.464 0.000 0.000 0.000 3.464 0.000 0.000 0.000 6.869" Properties=species:S:1:pos:R:3 pbc="T T T"
Ce 0.000 0.000 0.000
Nd 0.000 0.000 3.434
Ni 1.732 1.732 1.446
Ni 1.732 1.732 5.423
```